Computed, not measured: a geometry-optimized LiCoPO4 structure at the GGA+U level of DFT.

Output
- Total energy: -183.84 eV/cell
- D(E_F): 0.000 states/eV per atom
- Energy relative to the lowest polymorph listed for this composition: 80 meV/atom
- Spin magnetization: 3.00 μB/f.u.

Cell: 4.2936 14.7228 4.8065 Å, 89.99 90.00 90.00°
Each line ends with the local moment (μB).
Atoms (fractional coordinates):
Li 0.9926 0.2506 0.7362  0.00
Li 0.9926 0.7494 0.2361  0.00
Li 0.5073 0.2494 0.2360  0.00
Li 0.5075 0.7506 0.7361  0.00
Co 0.5469 0.5608 0.2915  2.73
Co 0.5467 0.4393 0.7914  2.73
Co 0.9532 0.0607 0.2911  2.73
Co 0.9532 0.9392 0.7911  2.73
P 0.0081 0.3868 0.2469  0.01
P 0.0082 0.6132 0.7468  0.01
P 0.4918 0.1132 0.7465  0.01
P 0.4918 0.8868 0.2466  0.01
O 0.1752 0.3167 0.4303  0.02
O 0.1753 0.6834 0.9303  0.02
O 0.3248 0.1833 0.9301  0.02
O 0.3248 0.8166 0.4302  0.02
O 0.6899 0.1611 0.5122  0.04
O 0.6900 0.8389 0.0124  0.04
O 0.8101 0.3389 0.0125  0.04
O 0.8102 0.6611 0.5125  0.04
O 0.2519 0.0491 0.6046  0.06
O 0.2519 0.9509 0.1046  0.06
O 0.2481 0.4510 0.1050  0.06
O 0.2481 0.5491 0.6049  0.06
O 0.7746 0.5574 0.9287  0.07
O 0.7746 0.4426 0.4287  0.07
O 0.7254 0.0574 0.9283  0.07
O 0.7253 0.9426 0.4284  0.07